(1)
Material: CdHgSO
Method: DFT, PBE
State: optimized geometry

Cell: 7.099 7.099 6.202 Å, 90.00 90.00 149.13°
Sites, in units of the cell vectors:
Cd: 0.069 0.931 0.500
Cd: 0.931 0.069 0.000
Hg: 0.336 0.664 0.535
Hg: 0.664 0.336 0.035
S: 0.317 0.683 0.125
S: 0.683 0.317 0.625
O: 0.075 0.925 0.144
O: 0.925 0.075 0.644

Summary:
total energy: -23.97 eV/cell
offset from the most stable computed form: 31.7 kJ/mol of formula units



(2)
Material: K3H4Pd2
Method: DFT, PBE
State: optimized geometry

Cell: 5.608 5.608 11.145 Å, 90.00 90.00 114.44°
Sites, in units of the cell vectors:
K: 0.165 0.835 0.583
K: 0.165 0.835 0.917
K: 0.201 0.799 0.250
K: 0.799 0.201 0.750
K: 0.835 0.165 0.083
K: 0.835 0.165 0.417
H: 0.278 0.349 0.623
H: 0.278 0.349 0.877
H: 0.349 0.278 0.123
H: 0.349 0.278 0.377
H: 0.651 0.722 0.623
H: 0.651 0.722 0.877
H: 0.722 0.651 0.123
H: 0.722 0.651 0.377
Pd: 0.468 0.532 0.750
Pd: 0.500 0.500 0.000
Pd: 0.500 0.500 0.500
Pd: 0.532 0.468 0.250

Summary:
total energy: -58.55 eV/cell



(3)
Material: ThUGa
Method: DFT, PBE
State: optimized geometry

Cell: 4.912 4.912 4.912 Å, 60.00 60.00 60.00°
Sites, in units of the cell vectors:
Th: 0.000 0.000 0.000
U: 0.500 0.500 0.500
Ga: 0.250 0.250 0.250

Summary:
total energy: -20.57 eV/cell
offset from the most stable computed form: 0.0 kJ/mol of formula units



(4)
Material: CdSbNO
Method: DFT, PBE
State: optimized geometry

Cell: 3.842 3.842 7.966 Å, 90.00 90.00 90.00°
Sites, in units of the cell vectors:
Cd: 0.250 0.750 0.000
Cd: 0.750 0.250 0.000
Sb: 0.250 0.250 0.351
Sb: 0.750 0.750 0.649
N: 0.250 0.250 0.821
N: 0.750 0.750 0.179
O: 0.250 0.750 0.500
O: 0.750 0.250 0.500

Summary:
total energy: -35.35 eV/cell
offset from the most stable computed form: 165.4 kJ/mol of formula units